No. 1
# ZnFe2BC, optimized geometry, DFT PBE-GGA
# Calculated density   6.75 g/cm3
data_ZnFe2BC
_symmetry_space_group_name_H-M 'P 4/m m m'
_symmetry_Int_Tables_number 123
_symmetry_space_group_name_Hall '-P 4 2'
_cell_length_a 4.0504
_cell_length_b 4.0504
_cell_length_c 2.9990
_cell_angle_alpha 90.00
_cell_angle_beta 90.00
_cell_angle_gamma 90.00
loop_
_atom_site_label
_atom_site_fract_x
_atom_site_fract_y
_atom_site_fract_z
_atom_site_occupancy
Zn1 0.0000 0.0000 0.0000 1
Fe1 0.0000 0.5000 0.5000 1
B1 0.5000 0.5000 0.0000 1
C1 0.5000 0.5000 0.5000 1

***

No. 2
# Y2CoOs, optimized geometry, DFT PBE-GGA
# Calculated density   9.08 g/cm3
data_Y2CoOs
_symmetry_space_group_name_H-M 'P 4/m m m'
_symmetry_Int_Tables_number 123
_symmetry_space_group_name_Hall '-P 4 2'
_cell_length_a 4.7843
_cell_length_b 4.7843
_cell_length_c 3.4106
_cell_angle_alpha 90.00
_cell_angle_beta 90.00
_cell_angle_gamma 90.00
loop_
_atom_site_label
_atom_site_fract_x
_atom_site_fract_y
_atom_site_fract_z
_atom_site_occupancy
Y1 0.0000 0.5000 0.0000 1
Co1 0.0000 0.0000 0.5000 1
Os1 0.5000 0.5000 0.5000 1

***

The DFT total energy results, record by record, are as follows: -6.514 -7.882 eV/atom.